No. 1
This record from the Alexandria database describes a relaxed K2LiPdBr6 crystal. The functional is PBE.

```
K2LiPdBr6
1.0
3.669 2.118 12.864
-3.669 2.118 12.864
0.000 -4.237 12.864
K Li Pd Br
4 2 2 12
Cartesian
0.000 0.000 4.660
0.000 0.000 11.656
0.000 0.000 26.936
0.000 0.000 33.933
0.000 0.000 16.219
0.000 0.000 22.374
0.000 0.000 0.000
0.000 0.000 19.296
-1.820 -1.051 17.800
0.000 -2.135 14.374
-1.849 1.067 14.374
-1.849 -1.067 24.219
0.000 -2.101 20.793
-1.820 1.051 20.793
1.820 -1.051 17.800
0.000 2.101 17.800
1.849 1.067 14.374
1.849 -1.067 24.219
0.000 2.135 24.219
1.820 1.051 20.793
```

Values from the calculation:
**Uncorrected formation energy**: -1.07 eV/atom

No. 2
This record from the Alexandria database describes a relaxed Zr2TlCu crystal. The functional is PBE.

```
Zr2TlCu
1.0
4.263 0.000 0.000
0.000 3.380 0.000
0.000 0.000 11.622
Zr Tl Cu
4 2 2
Cartesian
0.000 0.000 0.000
0.000 1.690 5.811
2.132 0.000 4.034
2.132 1.690 9.845
0.000 0.000 8.497
0.000 1.690 2.686
2.132 0.000 6.823
2.132 1.690 1.012
```

Values from the calculation:
**Calculated formation energy**: -0.0187 eV/atom

No. 3
This record from the Alexandria database describes a relaxed SrAc2Ni9 crystal. The functional is PBE.

```
SrAc2Ni9
1.0
2.587 1.494 8.387
-2.587 1.494 8.387
0.000 -2.987 8.387
Sr Ac Ni
1 2 9
Cartesian
0.000 0.000 0.000
0.000 0.000 3.418
0.000 0.000 21.744
-1.285 -0.742 10.368
0.000 0.000 8.355
0.000 -1.484 14.794
-1.285 0.742 14.794
0.000 0.000 12.581
1.285 -0.742 10.368
0.000 1.484 10.368
0.000 0.000 16.808
1.285 0.742 14.794
```

Values from the calculation:
**Calculated formation energy**: -0.1257 eV/atom

No. 4
This record from the Alexandria database describes a relaxed ScBe2Fe crystal. The functional is PBE.

```
ScBe2Fe
1.0
2.949 0.000 0.000
0.000 4.254 0.000
0.000 0.000 7.735
Sc Be Fe
2 4 2
Cartesian
0.000 0.000 0.000
1.475 2.127 3.868
0.000 0.000 3.943
0.000 2.127 1.645
1.475 0.000 5.512
1.475 2.127 0.076
0.000 2.127 6.006
1.475 0.000 2.138
```

Values from the calculation:
**Energy above the lowest structure with this stoichiometry**: 187 meV per atom
**Calculated formation energy**: 0.1035 eV/atom